The following is a PBE calculation of crystalline TaAl3Ir at its relaxed geometry, from the Alexandria database.

## Properties
The value obtained for the formation energy is 0.48 eV/atom. For the energy above the lowest structure with this stoichiometry, the calculation gives 0.000 eV/atom. The density of states at the Fermi level is 0.64 states/eV per atom. The value obtained for the electronic total energy is -29.55 eV per cell.

Structure (POSCAR):
```
TaAl3Ir
1.0
-0.0325 1.8309 -4.2638
4.2143 -1.7730 -0.7934
-1.9421 -3.8778 -1.6504
Ir Al Ta
1 3 1
direct
0.0000 0.0000 0.0000
0.0000 0.5000 0.0000
0.0000 0.0000 0.5000
0.5000 0.0000 0.0000
0.5000 0.5000 0.5000
```